Entry 1:
The following is a DFT calculation (PBE) of an optimized crystal structure of TaTl2P.

Cell: 10.410 10.410 10.410 Å, 17.29 17.29 17.29°
Atoms (fractional coordinates):
1 Ta 0.000 0.000 0.000
2 Tl 0.749 0.749 0.749
3 Tl 0.251 0.251 0.251
4 P 0.500 0.500 0.500

## Properties
symmetry = No. 166
ΔH_f (0 K) = 0.79 eV/atom
M_tot = 0.000 μB/atom
polymorph energy (0 for the lowest one) = 18.302 kcal/mol of atoms

Entry 2:
The following is a DFT calculation (PBE) of an optimized crystal structure of TaTl2P.

Cell: 3.282 4.865 5.341 Å, 90.00 90.00 90.00°
Atoms (fractional coordinates):
1 Ta 0.000 0.500 0.500
2 Tl 0.000 0.000 0.000
3 Tl 0.500 0.500 0.000
4 P 0.500 0.000 0.500

## Properties
symmetry = No. 47
ΔH_f (0 K) = 0.71 eV/atom
M_tot = 0.000 μB/atom
polymorph energy (0 for the lowest one) = 16.597 kcal/mol of atoms

Entry 3:
The following is a DFT calculation (PBE) of an optimized crystal structure of Ta2TlP2.

Cell: 6.018 6.018 6.018 Å, 136.57 136.57 63.10°
Atoms (fractional coordinates):
1 Ta 0.635 0.635 0.000
2 Ta 0.365 0.365 0.000
3 Tl 0.000 0.000 0.000
4 P 0.250 0.750 0.500
5 P 0.750 0.250 0.500

## Properties
symmetry = No. 139
ΔH_f (0 K) = 0.08 eV/atom
M_tot = 0.000 μB/atom

Entry 4:
The following is a DFT calculation (PBE) of an optimized crystal structure of TaTl3P.

Cell: 5.502 5.502 5.502 Å, 90.00 90.00 90.00°
Last column: magnetic moment on the atom in μB.
Atoms (fractional coordinates):
1 P 0.500 0.500 0.500  0.41
2 Tl 0.000 0.500 0.000  0.00
3 Tl 0.000 0.000 0.500  -0.02
4 Tl 0.500 0.000 0.000  0.00
5 Ta 0.000 0.000 0.000  -0.05

## Properties
symmetry = No. 221
ΔH_f (0 K) = 1.20 eV/atom
M_tot = 0.139 μB/atom
polymorph energy (0 for the lowest one) = 0.000 kcal/mol of atoms

Entry 5:
The following is a DFT calculation (PBE) of an optimized crystal structure of TaTlP.

Cell: 4.436 4.436 4.436 Å, 60.00 60.00 60.00°
Atoms (fractional coordinates):
1 Ta 0.000 0.000 0.000
2 Tl 0.500 0.500 0.500
3 P 0.250 0.250 0.250

## Properties
symmetry = No. 216
ΔH_f (0 K) = 0.64 eV/atom
M_tot = 0.000 μB/atom
polymorph energy (0 for the lowest one) = 16.138 kcal/mol of atoms

Entry 6:
The following is a DFT calculation (PBE) of an optimized crystal structure of TaTlP.

Cell: 7.617 7.435 3.074 Å, 81.56 74.91 23.53°
Atoms (fractional coordinates):
1 Ta 0.357 0.357 0.643
2 Tl 0.676 0.676 0.324
3 P 0.967 0.967 0.033

## Properties
symmetry = No. 42
ΔH_f (0 K) = 0.22 eV/atom
M_tot = 0.000 μB/atom
polymorph energy (0 for the lowest one) = 6.512 kcal/mol of atoms

Entry 7:
The following is a DFT calculation (PBE) of an optimized crystal structure of TaTl2P.

Cell: 5.018 5.018 5.018 Å, 60.00 60.00 60.00°
Last column: magnetic moment on the atom in μB.
Atoms (fractional coordinates):
1 P 0.000 0.000 0.000  -0.01
2 Tl 0.250 0.250 0.250  0.02
3 Tl 0.750 0.750 0.750  0.02
4 Ta 0.500 0.500 0.500  1.13

## Properties
symmetry = No. 225
ΔH_f (0 K) = 1.07 eV/atom
M_tot = 0.423 μB/atom
polymorph energy (0 for the lowest one) = 24.939 kcal/mol of atoms

Entry 8:
The following is a DFT calculation (PBE) of an optimized crystal structure of TaTl2P.

Cell: 8.485 8.485 8.485 Å, 157.08 155.52 33.78°
Atoms (fractional coordinates):
1 Ta 0.500 0.000 0.500
2 Tl 0.674 0.674 0.000
3 Tl 0.326 0.326 0.000
4 P 0.000 0.500 0.500

## Properties
symmetry = No. 71
ΔH_f (0 K) = 0.05 eV/atom
M_tot = 0.000 μB/atom
polymorph energy (0 for the lowest one) = 1.403 kcal/mol of atoms

Entry 9:
The following is a DFT calculation (PBE) of an optimized crystal structure of TaTl2P.

Cell: 9.353 9.353 9.353 Å, 21.07 21.07 21.07°
Atoms (fractional coordinates):
1 Ta 0.236 0.236 0.236
2 Tl 0.990 0.990 0.990
3 Tl 0.758 0.758 0.758
4 P 0.517 0.517 0.517

## Properties
symmetry = No. 160
ΔH_f (0 K) = 0.06 eV/atom
M_tot = 0.000 μB/atom
polymorph energy (0 for the lowest one) = 1.495 kcal/mol of atoms

Entry 10:
The following is a DFT calculation (PBE) of an optimized crystal structure of Ta3TlP.

Cell: 4.651 4.651 4.651 Å, 90.00 90.00 90.00°
Atoms (fractional coordinates):
1 P 0.000 0.000 0.000
2 Tl 0.500 0.500 0.500
3 Ta 0.000 0.500 0.000
4 Ta 0.000 0.000 0.500
5 Ta 0.500 0.000 0.000

## Properties
symmetry = No. 221
ΔH_f (0 K) = 0.49 eV/atom
M_tot = 0.000 μB/atom
polymorph energy (0 for the lowest one) = 0.000 kcal/mol of atoms

Entry 11:
The following is a DFT calculation (PBE) of an optimized crystal structure of TaTl2P.

Cell: 3.126 3.126 9.200 Å, 90.00 90.00 108.46°
Atoms (fractional coordinates):
1 Ta 0.500 0.500 0.000
2 Tl 0.000 0.000 0.258
3 Tl 0.000 0.000 0.742
4 P 0.500 0.500 0.500

## Properties
symmetry = No. 65
ΔH_f (0 K) = 0.76 eV/atom
M_tot = 0.000 μB/atom
polymorph energy (0 for the lowest one) = 17.774 kcal/mol of atoms

Entry 12:
The following is a DFT calculation (PBE) of an optimized crystal structure of Ta2TlP4.

Cell: 5.046 5.046 7.428 Å, 70.14 70.14 90.00°
Atoms (fractional coordinates):
1 P 0.772 0.772 0.456
2 P 0.228 0.228 0.544
3 P 0.000 0.500 0.000
4 P 0.500 0.000 0.000
5 Tl 0.000 0.000 0.000
6 Ta 0.598 0.598 0.803
7 Ta 0.402 0.402 0.197

## Properties
symmetry = No. 139
ΔH_f (0 K) = 0.93 eV/atom
M_tot = 0.000 μB/atom

Entry 13:
The following is a DFT calculation (PBE) of an optimized crystal structure of TaTl2P.

Cell: 5.570 5.570 5.570 Å, 135.39 135.39 64.92°
Atoms (fractional coordinates):
1 Ta 0.750 0.250 0.500
2 Tl 0.000 0.000 0.000
3 Tl 0.250 0.750 0.500
4 P 0.500 0.500 0.000

## Properties
symmetry = No. 119
ΔH_f (0 K) = 0.72 eV/atom
M_tot = 0.000 μB/atom
polymorph energy (0 for the lowest one) = 16.828 kcal/mol of atoms

Entry 14:
The following is a DFT calculation (PBE) of an optimized crystal structure of TaTl2P.

Cell: 3.064 3.064 9.133 Å, 90.00 90.00 90.00°
Atoms (fractional coordinates):
1 Ta 0.500 0.500 0.500
2 Tl 0.000 0.000 0.753
3 Tl 0.000 0.000 0.247
4 P 0.500 0.500 0.000

## Properties
symmetry = No. 123
ΔH_f (0 K) = 0.84 eV/atom
M_tot = 0.000 μB/atom
polymorph energy (0 for the lowest one) = 19.469 kcal/mol of atoms

Entry 15:
The following is a DFT calculation (PBE) of an optimized crystal structure of TaTlP.

Cell: 4.534 4.534 4.534 Å, 60.00 60.00 60.00°
Atoms (fractional coordinates):
1 Ta 0.250 0.250 0.250
2 Tl 0.000 0.000 0.000
3 P 0.500 0.500 0.500

## Properties
symmetry = No. 216
ΔH_f (0 K) = 0.77 eV/atom
M_tot = 0.000 μB/atom
polymorph energy (0 for the lowest one) = 19.094 kcal/mol of atoms

Entry 16:
The following is a DFT calculation (PBE) of an optimized crystal structure of TaTl4P.

Cell: 5.992 5.992 5.992 Å, 60.00 60.00 60.00°
Atoms (fractional coordinates):
1 Ta 0.000 0.000 0.000
2 Tl 0.375 0.876 0.375
3 Tl 0.876 0.375 0.375
4 Tl 0.375 0.375 0.876
5 Tl 0.375 0.375 0.375
6 P 0.750 0.750 0.750

## Properties
symmetry = No. 216
ΔH_f (0 K) = 1.12 eV/atom
M_tot = 0.000 μB/atom

Entry 17:
The following is a DFT calculation (PBE) of an optimized crystal structure of TaTlP.

Cell: 5.833 5.833 5.833 Å, 146.84 146.84 47.60°
Atoms (fractional coordinates):
1 Ta 0.374 0.374 0.000
2 Tl 0.668 0.668 0.000
3 P 0.958 0.958 0.000

## Properties
symmetry = No. 107
ΔH_f (0 K) = -0.06 eV/atom
M_tot = 0.000 μB/atom
polymorph energy (0 for the lowest one) = 0.000 kcal/mol of atoms

Entry 18:
The following is a DFT calculation (PBE) of an optimized crystal structure of Ta3TlP.

Cell: 5.067 5.067 5.067 Å, 90.00 90.00 90.00°
Atoms (fractional coordinates):
1 P 0.500 0.500 0.500
2 Tl 0.000 0.000 0.000
3 Ta 0.000 0.500 0.000
4 Ta 0.000 0.000 0.500
5 Ta 0.500 0.000 0.000

## Properties
symmetry = No. 221
ΔH_f (0 K) = 2.64 eV/atom
M_tot = 0.000 μB/atom
polymorph energy (0 for the lowest one) = 49.491 kcal/mol of atoms

Entry 19:
The following is a DFT calculation (PBE) of an optimized crystal structure of TaTlP.

Cell: 4.230 4.230 3.994 Å, 90.00 90.00 120.00°
Atoms (fractional coordinates):
1 Ta 0.667 0.333 0.000
2 Tl 0.333 0.667 0.500
3 P 0.000 0.000 0.000

## Properties
symmetry = No. 187
ΔH_f (0 K) = 0.14 eV/atom
M_tot = 0.000 μB/atom
polymorph energy (0 for the lowest one) = 4.749 kcal/mol of atoms

Entry 20:
The following is a DFT calculation (PBE) of an optimized crystal structure of TaTl2P.

Cell: 5.455 5.455 3.041 Å, 90.00 90.00 111.79°
Atoms (fractional coordinates):
1 Ta 0.500 0.500 0.500
2 Tl 0.500 0.000 0.000
3 Tl 0.000 0.500 0.000
4 P 0.000 0.000 0.500

## Properties
symmetry = No. 65
ΔH_f (0 K) = 0.69 eV/atom
M_tot = 0.000 μB/atom
polymorph energy (0 for the lowest one) = 16.072 kcal/mol of atoms